Density functional theory data (meta-GGA SCAN) for ZrRe2Rh at its PBEsol-relaxed geometry.

abc: 2.7963 2.7963 9.3872
angles: 81.43 81.43 60.00
With the nearest neighbours (Å) after each atom.
Fractional coordinates of all 4 atoms:
Re: 0.0068 0.0068 0.9795  9 Re 2.66-2.80
Re: 0.7497 0.7497 0.7508  9 Re 2.66-2.80, 3 Rh 2.73
Rh: 0.4956 0.4956 0.5132  3 Re 2.73, 6 Rh 2.80, 3 Zr 2.87
Zr: 0.2478 0.2478 0.2565  6 Zr 2.80, 3 Rh 2.87, 3 Re 3.03

Summary:
Electronic total energy = -51.601 eV/atom
Spin magnetization = 0.000 μB per formula unit

Density functional theory data (meta-GGA SCAN) for CoCuH2Au at its PBEsol-relaxed geometry.

abc: 3.4022 3.4022 4.5881
angles: 90.00 90.00 90.00
With the nearest neighbours (Å) after each atom.
Fractional coordinates of all 5 atoms:
Co: 0.0000 0.0000 0.0000  4 H 1.70
Au: 0.5000 0.5000 0.5000  4 Cu 2.41
Cu: 0.0000 0.0000 0.5000  2 Co 2.29, 4 Au 2.41
H: 0.0000 0.5000 0.0000  2 Co 1.70
H: 0.5000 0.0000 0.0000  2 Co 1.70

Summary:
Electronic total energy = -21.117 eV/atom
Spin magnetization = 1.550 μB per formula unit

Density functional theory data (meta-GGA SCAN) for NaReAg2Te at its PBEsol-relaxed geometry.

abc: 5.1852 5.1852 5.4819
angles: 90.00 90.00 90.00
With the nearest neighbours (Å) after each atom.
Fractional coordinates of all 5 atoms:
Re: 0.5000 0.5000 0.5000  4 Na 3.67, 8 Ag 3.77
Te: 0.0000 0.0000 0.0000  4 Ag 2.59, 2 Na 2.74
Ag: 0.0000 0.5000 0.0000  2 Te 2.59
Ag: 0.5000 0.0000 0.0000  2 Te 2.59
Na: 0.0000 0.0000 0.5000  2 Te 2.74

Summary:
Electronic total energy = -33.618 eV/atom
Spin magnetization = 4.258 μB per formula unit
Formation energy from raw total energies = 1.442 eV per atom